{
  "formula": "Hf2ThW",
  "functional": "PBE-GGA",
  "state": "relaxed",
  "e_form_ev_per_fu": 0.41,
  "density_g_cm3": 13.89,
  "lattice": [[3.365, 0.000, 0.000], [0.000, 3.365, 0.000], [0.000, 0.000, 8.163]],
  "species": ["Hf", "Hf", "Th", "W"],
  "frac_coords": [[0.000, 0.000, 0.194], [0.000, 0.000, 0.806], [0.500, 0.500, 0.500], [0.500, 0.500, 0.000]]
}